1.
Material: NaNdHo4Se8
Method: DFT, GGA-PBE
State: relaxed

```
data_NaNdHo4Se8
_symmetry_space_group_name_H-M 'R 3 m'
_symmetry_Int_Tables_number 160
_symmetry_space_group_name_Hall 'R 3 -2"'
_cell_length_a 8.4338
_cell_length_b 8.4338
_cell_length_c 21.0292
_cell_angle_alpha 90.00
_cell_angle_beta 90.00
_cell_angle_gamma 120.00
loop_
_atom_site_label
_atom_site_type_symbol
_atom_site_fract_x
_atom_site_fract_y
_atom_site_fract_z
Na1 Na 0.0000 0.0000 0.0000
Nd1 Nd 0.0000 0.0000 0.6319
Ho1 Ho 0.0000 0.0000 0.2536
Ho2 Ho 0.1732 0.3464 0.4592
Se1 Se 0.0000 0.0000 0.3858
Se2 Se 0.0000 0.0000 0.8666
Se3 Se 0.0215 0.5108 0.3839
Se4 Se 0.1744 0.3488 0.2055
```

- Formation energy from raw total energies: -1759.3 meV/atom

2.
Material: Tb2Nd6Sm3Cd
Method: DFT, GGA-PBE
State: relaxed

```
data_Tb2Nd6Sm3Cd
_symmetry_space_group_name_H-M 'C 1 2/m 1'
_symmetry_Int_Tables_number 12
_cell_length_a 6.258
_cell_length_b 10.861
_cell_length_c 11.870
_cell_angle_alpha 90.00
_cell_angle_beta 100.26
_cell_angle_gamma 90.00
loop_
_symmetry_equiv_pos_as_xyz
'x,y,z'
'-x,-y,-z'
'-x,y,-z'
'x,-y,z'
'x+1/2,y+1/2,z'
'-x+1/2,-y+1/2,-z'
'-x+1/2,y+1/2,-z'
'x+1/2,-y+1/2,z'
loop_
_atom_site_label
_atom_site_type_symbol
_atom_site_fract_x
_atom_site_fract_y
_atom_site_fract_z
Tb1 Tb 0.000 0.167 0.000
Nd1 Nd 0.245 0.335 0.245
Nd2 Nd 0.248 0.500 0.753
Sm1 Sm 0.000 0.000 0.500
Sm2 Sm 0.000 0.333 0.500
Cd1 Cd 0.000 0.500 0.000
```

- Energy of formation: 0.000 eV/atom

3.
Material: SrTl2S2
Method: DFT, GGA-PBE
State: relaxed

```
data_SrTl2S2
_symmetry_space_group_name_H-M 'P 4/m b m'
_symmetry_Int_Tables_number 127
_symmetry_space_group_name_Hall '-P 4 2ab'
_cell_length_a 8.095
_cell_length_b 8.095
_cell_length_c 4.566
_cell_angle_alpha 90.00
_cell_angle_beta 90.00
_cell_angle_gamma 90.00
loop_
_atom_site_label
_atom_site_type_symbol
_atom_site_fract_x
_atom_site_fract_y
_atom_site_fract_z
Sr1 Sr 0.000 0.000 0.000
Tl1 Tl 0.135 0.365 0.500
S1 S 0.186 0.686 0.000
```

- Formation energy from raw total energies: -713.8 meV/atom

4.
Material: RuRh5
Method: DFT, GGA-PBE
State: relaxed

```
data_RuRh5
_symmetry_space_group_name_H-M 'C m m m'
_symmetry_Int_Tables_number 65
_symmetry_space_group_name_Hall '-C 2 2'
_cell_length_a 3.834
_cell_length_b 11.518
_cell_length_c 3.837
_cell_angle_alpha 90.00
_cell_angle_beta 90.00
_cell_angle_gamma 90.00
loop_
_atom_site_label
_atom_site_type_symbol
_atom_site_fract_x
_atom_site_fract_y
_atom_site_fract_z
Ru1 Ru 0.000 0.000 0.000
Rh1 Rh 0.000 0.166 0.500
Rh2 Rh 0.000 0.337 0.000
Rh3 Rh 0.000 0.500 0.500
```

- Energy of formation: 0.011 eV/atom
- Excess energy over the best structure of this formula in the dataset: 0.00 eV per formula unit

no.,DOS(E_F) (states/eV/cell)
1,0.00
2,28.16
3,0.00
4,12.95